Entry 1:
Li2AlMo | PBEsol | relaxed

Values from the calculation:
* crystal system: orthorhombic
* symmetry: Pmmm (47)
* energy of formation from the pure elements: 1.23 eV per formula unit

abc: 2.5903 4.4851 5.1945
angles: 90.00 90.00 90.00
With the nearest neighbours (Å) after each atom.
Sites, in units of the cell vectors:
Li  0.0000  0.0000  0.2419  4 Li 2.51-2.68
Li  0.0000  0.0000  0.7581  4 Li 2.51-2.68
Al  0.5000  0.5000  0.5000  2 Al 2.59, 2 Mo 2.60
Mo  0.5000  0.5000  0.0000  2 Mo 2.59, 2 Al 2.60, 8 Li 2.88

---

Entry 2:
ZrPbAu2 | PBEsol | relaxed

Values from the calculation:
* crystal system: cubic
* symmetry: F-43m (216)
* energy of formation from the pure elements: -0.64 eV per formula unit

abc: 4.8264 4.8264 4.8264
angles: 60.00 60.00 60.00
With the nearest neighbours (Å) after each atom.
Sites, in units of the cell vectors:
Zr  0.0000  0.0000  0.0000  4 Pb 2.96, 4 Au 2.96
Pb  0.7500  0.7500  0.7500  4 Au 2.96, 4 Zr 2.96
Au  0.2500  0.2500  0.2500  4 Zr 2.96, 4 Au 2.96
Au  0.5000  0.5000  0.5000  4 Pb 2.96, 4 Au 2.96

---

Entry 3:
HoSi2 | PBEsol | relaxed

Values from the calculation:
* crystal system: tetragonal
* symmetry: I4_1/amd (141)
* VASP energy: -6.0806 eV per atom

abc: 7.8884 7.8884 7.8884
angles: 151.64 151.64 40.54
With the nearest neighbours (Å) after each atom.
Sites, in units of the cell vectors:
Ho  0.3750  0.6250  0.7500  12 Si 2.98-3.16
Ho  0.6250  0.3750  0.2500  12 Si 2.98-3.16
Si  0.0440  0.7940  0.2500  3 Si 2.33-2.40
Si  0.2060  0.9560  0.2500  3 Si 2.33-2.40
Si  0.7940  0.0440  0.7500  3 Si 2.33-2.40
Si  0.9560  0.2060  0.7500  3 Si 2.33-2.40

---

Entry 4:
ScCoTe2N | PBEsol | relaxed

Values from the calculation:
* crystal system: tetragonal
* symmetry: P4/mmm (123)
* VASP energy: -5.2992 eV per atom

abc: 5.5699 5.5699 3.7717
angles: 90.00 90.00 90.00
With the nearest neighbours (Å) after each atom.
Sites, in units of the cell vectors:
Sc  0.0000  0.0000  0.0000  2 N 1.89
Co  0.5000  0.5000  0.5000  8 Te 3.36
Te  0.0000  0.5000  0.0000  2 Sc 2.78
Te  0.5000  0.0000  0.0000  2 Sc 2.78
N  0.0000  0.0000  0.5000  2 Sc 1.89

---

no.,size of the total moment (μB/atom),ρ (g cm⁻³),N(E_F) (states/eV per cell)
1,0.0002,3.76,3.16
2,0.0000,14.46,1.06
3,0.0000,6.64,2.21
4,0.4105,5.29,6.57